PBE TiMn2Tc, relaxed; DFT total energy = -8.7461 eV per atom; E above lowest polymorph = 540.4 meV per atom; symmetry = I-42d; volume = 14.6 Å³ per atom; ΔH_f (0 K) = 0.404 eV/atom; magnetic moment = 7.53 μB per cell
1.0
-6.079 0.895 -2.744
0.334 -6.136 -2.742
-3.970 -3.622 -0.637
Mn Tc Ti
4 2 2
direct
0.643 0.125 0.250
0.107 0.625 0.250
0.375 0.357 0.750
0.875 0.893 0.750
0.000 0.000 0.000
0.750 0.250 0.500
0.500 0.500 0.000
0.250 0.750 0.500



PBE Pr2PtSe, relaxed; DFT total energy = -6.2209 eV per atom; E above lowest polymorph = 0.0 meV per atom; symmetry = Cmcm; volume = 26.4 Å³ per atom; magnetic moment = 0.00 μB per cell; formation energy (no corrections) = -1450 meV per atom
1.0
4.484 0.000 0.000
0.000 3.966 -0.704
0.000 0.065 11.880
Pr Pt Se
4 2 2
direct
0.750 0.680 0.360
0.250 0.320 0.640
0.750 0.938 0.877
0.250 0.062 0.123
0.250 0.456 0.911
0.750 0.544 0.089
0.250 0.190 0.381
0.750 0.810 0.619



PBE YTl2Cl8, relaxed; DFT total energy = -3.5165 eV per atom; symmetry = C2/m; volume = 35.9 Å³ per atom; magnetic moment = 0.00 μB per cell; formation energy (no corrections) = -1156 meV per atom
1.0
-5.186 -4.058 -1.831
-3.664 -0.537 7.373
-6.175 5.081 2.032
Y Tl Cl
1 2 8
direct
0.000 0.000 0.000
0.647 0.814 0.814
0.353 0.186 0.186
0.215 0.298 0.855
0.785 0.145 0.702
0.251 0.837 0.837
0.749 0.163 0.163
0.215 0.855 0.298
0.785 0.702 0.145
0.736 0.642 0.642
0.264 0.358 0.358



PBE ScAgH, relaxed; DFT total energy = -4.3239 eV per atom; E above lowest polymorph = 328.1 meV per atom; symmetry = P6_3mc; volume = 14.8 Å³ per atom; magnetic moment = 0.00 μB per cell
1.0
6.954 0.000 0.000
0.000 7.691 0.000
0.000 -3.845 6.660
Sc H Ag
8 8 8
direct
0.182 0.652 0.826
0.182 0.174 0.826
0.182 0.174 0.348
0.682 0.348 0.174
0.682 0.826 0.174
0.682 0.826 0.652
0.829 0.333 0.667
0.329 0.667 0.333
0.875 0.650 0.825
0.875 0.175 0.825
0.875 0.175 0.350
0.375 0.350 0.175
0.375 0.825 0.175
0.375 0.825 0.650
0.117 0.333 0.667
0.617 0.667 0.333
0.991 0.912 0.456
0.991 0.544 0.456
0.991 0.544 0.088
0.491 0.088 0.544
0.491 0.456 0.544
0.491 0.456 0.912
0.941 0.000 0.000
0.441 0.000 0.000



PBE LiTlRh2, relaxed; DFT total energy = -4.4873 eV per atom; symmetry = Cmmm; volume = 16.5 Å³ per atom; ΔH_f (0 K) = 0.258 eV/atom; magnetic moment = 0.00 μB per cell
1.0
2.930 0.012 0.000
-1.172 2.686 0.000
0.000 0.000 8.379
Li Rh Tl
1 2 1
direct
0.500 0.500 0.750
0.000 0.000 0.987
0.000 0.000 0.513
0.500 0.500 0.250



PBE FeReSCl2, relaxed; DFT total energy = -5.0706 eV per atom; E above lowest polymorph = 0.0 meV per atom; symmetry = P4/mmm; volume = 21.8 Å³ per atom; magnetic moment = 4.60 μB per cell; formation energy (no corrections) = 676 meV per atom
1.0
4.936 0.000 0.000
0.000 4.936 0.000
0.000 0.000 4.483
Re S Fe Cl
1 1 1 2
direct
0.000 0.000 0.000
0.000 0.000 0.500
0.500 0.500 0.500
0.000 0.500 0.000
0.500 0.000 0.000